#i
# NpFeC

NpFeC after structural relaxation (GGA-PBE, Alexandria via LeMat-Bulk).

## Properties
**Space group**: No. 156
**N(E_F)**: 1.395 states/eV/atom

abc: 3.436 3.585 3.585
angles: 120.00 90.00 90.00
Each line ends with the local moment (μB).
Positions (direct):
Np (0.662, 0.333, 0.667)  2.58
Fe (0.144, 0.000, 0.000)  -1.41
C (0.194, 0.667, 0.333)  -0.11

=====

#ii
# NpFeC

NpFeC after structural relaxation (GGA-PBE, Alexandria via LeMat-Bulk).

## Properties
**Space group**: No. 107
**N(E_F)**: 1.402 states/eV/atom

abc: 2.607 2.607 5.493
angles: 103.73 103.73 90.00
Each line ends with the local moment (μB).
Positions (direct):
Fe (0.280, 0.280, 0.559)  0.18
C (0.708, 0.708, 0.416)  -0.05
Np (0.012, 0.012, 0.025)  1.87

=====

It is #ii that is the least stable of them.